Below is a geometry-optimized HfInI3 structure, with properties calculated at the PBE level.

Results
ΔE_f (raw)	-0.21	eV per atom
calculated volume	187.1	Å³/cell

Lattice parameters (Å, degrees): 5.7198 5.7198 5.7198 90.00 90.00 90.00
With the nearest neighbours (Å) after each atom.
Sites, in units of the cell vectors:
Hf 0.0000 0.0000 0.0000  6 I 2.86
In 0.5000 0.5000 0.5000  12 I 4.04
I 0.0000 0.0000 0.5000  2 Hf 2.86
I 0.0000 0.5000 0.0000  2 Hf 2.86
I 0.5000 0.0000 0.0000  2 Hf 2.86

=====

Below is a geometry-optimized HfIn2I5 structure, with properties calculated at the PBE level.

Results
ΔE_f (raw)	-0.53	eV per atom
calculated volume	440.4	Å³/cell

Lattice parameters (Å, degrees): 8.6550 8.6550 8.3343 118.78 118.78 57.58
With the nearest neighbours (Å) after each atom.
Sites, in units of the cell vectors:
Hf 0.0000 0.0000 0.0000  5 I 2.71-2.85
In 0.3062 0.3062 0.8078  4 I 3.41
In 0.8062 0.8062 0.3062  4 I 3.41
I 0.1725 0.7067 0.7071  1 Hf 2.85
I 0.1736 0.7081 0.1742  1 Hf 2.85
I 0.2138 0.2138 0.2123  1 Hf 2.71
I 0.7067 0.1725 0.7071  1 Hf 2.85
I 0.7081 0.1736 0.1742  1 Hf 2.85

=====

Below is a geometry-optimized KHfInI6 structure, with properties calculated at the PBE level.

Results
ΔE_f (raw)	-0.93	eV per atom
calculated volume	863.8	Å³/cell

Lattice parameters (Å, degrees): 8.3233 8.3233 14.3977 90.00 90.00 120.00
With the nearest neighbours (Å) after each atom.
Sites, in units of the cell vectors:
K 0.0000 0.0000 0.0000  6 I 3.61
K 0.0000 0.0000 0.5000  6 I 3.61
Hf 0.3333 0.6667 0.2500  6 I 2.86
Hf 0.6667 0.3333 0.7500  6 I 2.86
In 0.3333 0.6667 0.7500  6 I 3.42
In 0.6667 0.3333 0.2500  6 I 3.42
I 0.0508 0.3889 0.1350  1 Hf 2.86
I 0.0508 0.6619 0.3650  1 Hf 2.86
I 0.3381 0.3889 0.3650  1 Hf 2.86
I 0.3381 0.9492 0.1350  1 Hf 2.86
I 0.3889 0.0508 0.6350  1 Hf 2.86
I 0.3889 0.3381 0.8650  1 Hf 2.86
I 0.6111 0.6619 0.1350  1 Hf 2.86
I 0.6111 0.9492 0.3650  1 Hf 2.86
I 0.6619 0.0508 0.8650  1 Hf 2.86
I 0.6619 0.6111 0.6350  1 Hf 2.86
I 0.9492 0.3381 0.6350  1 Hf 2.86
I 0.9492 0.6111 0.8650  1 Hf 2.86

=====

Below is a geometry-optimized K2HfInI8 structure, with properties calculated at the PBE level.

Results
ΔE_f (raw)	-0.88	eV per atom
calculated volume	583.3	Å³/cell

Lattice parameters (Å, degrees): 7.0562 8.0915 10.2168 89.88 89.80 89.20
With the nearest neighbours (Å) after each atom.
Sites, in units of the cell vectors:
K 0.0022 0.9997 0.2201  6 I 3.43-3.61
K 0.9978 0.0003 0.7799  6 I 3.43-3.61
Hf 0.5000 0.5000 0.0000  6 I 2.85-2.86
In 0.5000 0.5000 0.5000  4 I 3.60
I 0.2594 0.3820 0.2047  1 Hf 2.86
I 0.2613 0.3793 0.7968  1 Hf 2.86
I 0.2678 0.9741 0.5002  1 I 3.31, 2 K 3.43
I 0.3022 0.8092 0.9981  1 Hf 2.85
I 0.6978 0.1908 0.0019  1 Hf 2.85
I 0.7322 0.0259 0.4998  1 I 3.31, 2 K 3.43
I 0.7387 0.6207 0.2032  1 Hf 2.86
I 0.7406 0.6180 0.7953  1 Hf 2.86

=====

Below is a geometry-optimized HfInIN2 structure, with properties calculated at the PBE level.

Results
ΔE_f (raw)	0.26	eV per atom
calculated volume	108.5	Å³/cell

Lattice parameters (Å, degrees): 4.3018 4.3018 5.8636 90.00 90.00 90.00
With the nearest neighbours (Å) after each atom.
Sites, in units of the cell vectors:
Hf 0.0000 0.0000 0.0000  4 N 2.15
In 0.5000 0.5000 0.5000  4 I 3.04
I 0.0000 0.0000 0.5000  2 Hf 2.93, 4 In 3.04
N 0.0000 0.5000 0.0000  2 Hf 2.15
N 0.5000 0.0000 0.0000  2 Hf 2.15